[1]
DFT (PBE-GGA) results for an optimized crystal structure of Sm4CdTe.

```
12
Lattice="6.059 0.000 0.000 0.000 8.683 0.000 -2.244 0.000 7.799" Properties=species:S:1:pos:R:3 pbc="T T T"
Sm -0.525 0.458 1.965
Sm -0.525 3.883 1.965
Sm 1.200 6.512 4.049
Sm 2.578 2.171 0.046
Sm 1.237 6.512 7.753
Sm 2.615 2.171 3.750
Sm 4.341 4.799 5.834
Sm 4.341 8.225 5.834
Cd -0.293 2.171 4.641
Cd 4.108 6.512 3.158
Te 0.509 6.512 0.674
Te 3.306 2.171 7.125
```

DOS(E_F)   1.119 states/eV/atom
Energy   -4.11 eV/atom
Formation energy without anion corrections   -1.7 eV/f.u.
SG   No. 11



[2]
DFT (PBE-GGA) results for an optimized crystal structure of Sm6CdTe5.

```
12
Lattice="3.863 -6.661 0.000 3.863 6.661 0.000 -2.557 0.000 7.236" Properties=species:S:1:pos:R:3 pbc="T T T"
Sm -0.011 2.189 5.391
Sm 1.241 0.000 1.829
Sm -0.011 -2.189 5.391
Sm 5.180 2.189 1.845
Sm 3.927 0.000 5.408
Sm 5.180 -2.189 1.845
Cd -1.279 0.000 3.618
Te 3.863 4.396 0.000
Te 2.584 2.203 3.618
Te 3.863 0.000 0.000
Te 2.584 -2.203 3.618
Te 3.863 -4.396 0.000
```

DOS(E_F)   0.439 states/eV/atom
Energy   -4.95 eV/atom
Formation energy without anion corrections   -14.5 eV/f.u.
SG   No. 12



[3]
DFT (PBE-GGA) results for an optimized crystal structure of Sm2CdTe.

```
12
Lattice="4.130 0.000 0.000 -2.065 3.576 0.000 0.000 0.000 25.328" Properties=species:S:1:pos:R:3 pbc="T T T"
Sm 0.000 0.000 0.000
Sm 0.000 0.000 4.172
Sm 0.000 2.384 16.885
Sm 0.000 2.384 21.057
Sm 2.065 1.192 8.443
Sm 2.065 1.192 12.614
Cd 0.000 0.000 14.734
Cd 0.000 2.384 6.292
Cd 2.065 1.192 23.177
Te 0.000 0.000 18.989
Te 0.000 2.384 10.546
Te 2.065 1.192 2.103
```

DOS(E_F)   1.034 states/eV/atom
Energy above the lowest structure with this stoichiometry   0.058 eV per atom
Energy   -4.10 eV/atom
Formation energy without anion corrections   -2.9 eV/f.u.
SG   No. 160



[4]
DFT (PBE-GGA) results for an optimized crystal structure of Sm2CdTe.

```
4
Lattice="3.958 0.000 0.000 0.000 3.958 0.000 0.000 0.000 7.126" Properties=species:S:1:pos:R:3 pbc="T T T"
Sm 0.000 0.000 1.768
Sm 0.000 0.000 5.358
Cd 1.979 1.979 3.563
Te 1.979 1.979 0.000
```

DOS(E_F)   0.883 states/eV/atom
Energy above the lowest structure with this stoichiometry   0.039 eV per atom
Energy   -4.12 eV/atom
Formation energy without anion corrections   -3.0 eV/f.u.
SG   No. 123



[5]
DFT (PBE-GGA) results for an optimized crystal structure of SmCdTe2.

```
12
Lattice="4.398 0.000 0.000 -2.199 3.809 0.000 0.000 0.000 23.357" Properties=species:S:1:pos:R:3 pbc="T T T"
Sm 0.000 0.000 0.000
Sm 0.000 2.539 15.571
Sm 2.199 1.270 7.786
Cd 0.000 0.000 3.857
Cd 0.000 2.539 19.428
Cd 2.199 1.270 11.642
Te 0.000 0.000 9.592
Te 0.000 0.000 13.644
Te 0.000 2.539 1.806
Te 0.000 2.539 5.859
Te 2.199 1.270 17.378
Te 2.199 1.270 21.430
```

DOS(E_F)   0.595 states/eV/atom
Energy above the lowest structure with this stoichiometry   0.000 eV per atom
Energy   -3.80 eV/atom
Formation energy without anion corrections   -3.3 eV/f.u.
SG   No. 160



[6]
DFT (PBE-GGA) results for an optimized crystal structure of Sm2CdTe.

```
12
Lattice="4.263 0.000 0.000 -2.132 3.692 0.000 0.000 0.000 23.613" Properties=species:S:1:pos:R:3 pbc="T T T"
Sm 0.000 0.000 5.839
Sm 0.000 0.000 17.774
Sm 0.000 2.461 9.903
Sm 0.000 2.461 21.581
Sm 2.132 1.231 2.032
Sm 2.132 1.231 13.710
Cd 0.000 0.000 0.000
Cd 0.000 2.461 15.742
Cd 2.132 1.231 7.871
Te 0.000 0.000 11.807
Te 0.000 2.461 3.936
Te 2.132 1.231 19.678
```

DOS(E_F)   0.577 states/eV/atom
Energy above the lowest structure with this stoichiometry   0.000 eV per atom
Energy   -4.15 eV/atom
Formation energy without anion corrections   -3.1 eV/f.u.
SG   No. 166



[7]
DFT (PBE-GGA) results for an optimized crystal structure of Sm3CdTe2.

```
24
Lattice="0.000 6.280 13.150 4.489 0.000 13.150 4.489 6.280 0.000" Properties=species:S:1:pos:R:3 pbc="T T T"
Sm 3.364 1.561 7.688
Sm 5.622 4.710 9.863
Sm 3.369 1.561 12.037
Sm 5.614 4.701 14.263
Sm 7.866 7.850 16.438
Sm 5.609 4.701 18.612
Sm 3.369 7.859 7.688
Sm 1.112 4.710 9.863
Sm 3.364 7.859 12.037
Sm 5.609 10.999 14.263
Sm 3.357 7.850 16.438
Sm 5.614 10.999 18.612
Cd 3.367 4.710 7.666
Cd 3.367 4.710 12.059
Cd 5.612 7.850 14.241
Cd 5.612 7.850 18.635
Te 1.122 1.570 1.118
Te 3.367 4.710 3.269
Te 1.122 1.570 5.457
Te 5.612 7.850 9.844
Te 3.367 4.710 16.456
Te 7.856 10.990 20.843
Te 5.612 7.850 23.031
Te 7.856 10.990 25.182
```

DOS(E_F)   0.674 states/eV/atom
Energy   -4.55 eV/atom
Formation energy without anion corrections   -5.9 eV/f.u.
SG   No. 70



[8]
DFT (PBE-GGA) results for an optimized crystal structure of Sm2Tl3CdTe6.

```
12
Lattice="3.890 -6.768 0.000 3.890 6.768 0.000 -2.611 0.000 7.935" Properties=species:S:1:pos:R:3 pbc="T T T"
Sm 3.890 4.530 0.000
Sm 3.890 -4.530 0.000
Tl -1.306 0.000 3.967
Tl 2.585 2.331 3.967
Tl 2.585 -2.331 3.967
Cd 3.890 0.000 0.000
Te 0.008 2.232 6.193
Te 1.331 0.000 1.768
Te 0.008 -2.232 6.193
Te 5.161 2.232 1.742
Te 3.838 0.000 6.167
Te 5.161 -2.232 1.742
```

DOS(E_F)   0.569 states/eV/atom
Energy   -3.78 eV/atom
Formation energy without anion corrections   -9.1 eV/f.u.
SG   No. 12